# 1
First-principles (PBE) data for an optimized crystal structure of Mg2CuSb, as listed in Alexandria via LeMat-Bulk.

a = 4.3143 Å, b = 4.3143 Å, c = 8.4590 Å
α = 90.00°, β = 90.00°, γ = 90.00°
Closest atoms and distances in Å follow each position.
Atoms (fractional coordinates):
Mg: 0.0000 0.5000 0.2500  4 Sb 3.02, 4 Cu 3.02, 4 Mg 3.05
Mg: 0.0000 0.5000 0.7500  4 Sb 3.02, 4 Cu 3.02, 4 Mg 3.05
Mg: 0.5000 0.0000 0.2500  4 Sb 3.02, 4 Cu 3.02, 4 Mg 3.05
Mg: 0.5000 0.0000 0.7500  4 Sb 3.02, 4 Cu 3.02, 4 Mg 3.05
Cu: 0.0000 0.0000 0.0000  8 Mg 3.02, 4 Sb 3.05
Cu: 0.5000 0.5000 0.5000  8 Mg 3.02, 4 Sb 3.05
Sb: 0.0000 0.0000 0.5000  8 Mg 3.02, 4 Cu 3.05
Sb: 0.5000 0.5000 0.0000  8 Mg 3.02, 4 Cu 3.05

Output
For the formation energy without anion corrections, the calculation gives -0.06 eV/atom. As for the crystal system: tetragonal. The space-group type is I4/mmm. The electronic total energy is -2.916 eV/atom. The magnetization comes out at 0.0 μB/cell.

=====

# 2
First-principles (PBE) data for an optimized crystal structure of RbTb4Se6, as listed in Alexandria via LeMat-Bulk.

a = 7.2122 Å, b = 7.2122 Å, c = 21.9951 Å
α = 90.00°, β = 90.00°, γ = 146.47°
Closest atoms and distances in Å follow each position.
Atoms (fractional coordinates):
Rb: 0.1554 0.8446 0.7500  6 Se 3.36-3.42
Rb: 0.8446 0.1554 0.2500  6 Se 3.36-3.42
Tb: 0.0978 0.9022 0.1319  5 Se 2.71-2.99
Tb: 0.0978 0.9022 0.3681  5 Se 2.71-2.99
Tb: 0.3679 0.6321 0.0403  6 Se 2.77-2.97
Tb: 0.3679 0.6321 0.4597  6 Se 2.77-2.97
Tb: 0.6321 0.3679 0.5403  6 Se 2.77-2.97
Tb: 0.6321 0.3679 0.9597  6 Se 2.77-2.97
Tb: 0.9022 0.0978 0.6319  5 Se 2.71-2.99
Tb: 0.9022 0.0978 0.8681  5 Se 2.71-2.99
Se: 0.0000 0.0000 0.0000  6 Tb 2.91-3.20
Se: 0.0000 0.0000 0.5000  6 Tb 2.91-3.20
Se: 0.1540 0.8460 0.2500  2 Tb 2.71
Se: 0.2707 0.7293 0.5800  5 Tb 2.96-2.99
Se: 0.2707 0.7293 0.9200  5 Tb 2.96-2.99
Se: 0.4633 0.5367 0.1514  3 Tb 2.77-2.82
Se: 0.4633 0.5367 0.3486  3 Tb 2.77-2.82
Se: 0.5367 0.4633 0.6514  3 Tb 2.77-2.82
Se: 0.5367 0.4633 0.8486  3 Tb 2.77-2.82
Se: 0.7293 0.2707 0.0800  5 Tb 2.96-2.99
Se: 0.7293 0.2707 0.4200  5 Tb 2.96-2.99
Se: 0.8460 0.1540 0.7500  2 Tb 2.71

Output
For the formation energy without anion corrections, the calculation gives -1.78 eV/atom. As for the crystal system: orthorhombic. The space-group type is Cmcm. The electronic total energy is -5.450 eV/atom. The relative energy among the computed polymorphs comes out at 0.00 eV per formula unit. The magnetization comes out at 0.0 μB/cell.

=====

# 3
First-principles (PBE) data for an optimized crystal structure of VGa4Ni7, as listed in Alexandria via LeMat-Bulk.

a = 5.2355 Å, b = 5.2355 Å, c = 8.7661 Å
α = 116.85°, β = 116.85°, γ = 48.94°
Closest atoms and distances in Å follow each position.
Atoms (fractional coordinates):
V: 0.0000 0.0000 0.0000  2 Ni 2.17
Ga: 0.2534 0.2534 0.6733  4 Ni 2.36-2.48
Ga: 0.4080 0.4080 0.2277  8 Ni 2.40-2.55
Ga: 0.5920 0.5920 0.7723  8 Ni 2.40-2.55
Ga: 0.7466 0.7466 0.3267  4 Ni 2.36-2.48
Ni: 0.0643 0.0643 0.3262  4 Ni 2.44-2.65, 3 Ga 2.53-2.66, 1 V 2.61
Ni: 0.2147 0.2147 0.9193  4 Ga 2.36-2.50, 4 Ni 2.45-2.49, 1 V 2.47
Ni: 0.3592 0.3592 0.4755  5 Ga 2.40-2.48, 4 Ni 2.44-2.65
Ni: 0.5000 0.5000 0.0000  2 V 2.17
Ni: 0.6408 0.6408 0.5245  5 Ga 2.40-2.48, 4 Ni 2.44-2.65
Ni: 0.7853 0.7853 0.0807  4 Ga 2.36-2.50, 4 Ni 2.45-2.49, 1 V 2.47
Ni: 0.9357 0.9357 0.6738  4 Ni 2.44-2.65, 3 Ga 2.53-2.66, 1 V 2.61

Output
As for the crystal system: monoclinic. The space-group type is C2/m. The electronic total energy is -5.202 eV/atom. The magnetization comes out at 0.0 μB/cell.

=====

# 4
First-principles (PBE) data for an optimized crystal structure of MgPF2, as listed in Alexandria via LeMat-Bulk.

a = 5.8549 Å, b = 5.8549 Å, c = 8.3321 Å
α = 90.00°, β = 90.00°, γ = 90.00°
Closest atoms and distances in Å follow each position.
Atoms (fractional coordinates):
Mg: 0.0000 0.0000 0.0000  4 F 1.85
Mg: 0.0000 0.5000 0.2500  4 F 1.85
Mg: 0.5000 0.0000 0.7500  4 F 1.85
Mg: 0.5000 0.5000 0.5000  4 F 1.85
P: 0.0000 0.0000 0.5000  4 F 3.07
P: 0.0000 0.5000 0.7500  4 F 3.07
P: 0.5000 0.0000 0.2500  4 F 3.07
P: 0.5000 0.5000 0.0000  4 F 3.07
F: 0.0751 0.2500 0.1250  2 Mg 1.85
F: 0.2500 0.5751 0.3750  2 Mg 1.85
F: 0.2500 0.9249 0.8750  2 Mg 1.85
F: 0.4249 0.2500 0.6250  2 Mg 1.85
F: 0.5751 0.7500 0.6250  2 Mg 1.85
F: 0.7500 0.0751 0.8750  2 Mg 1.85
F: 0.7500 0.4249 0.3750  2 Mg 1.85
F: 0.9249 0.7500 0.1250  2 Mg 1.85

Output
For the formation energy without anion corrections, the calculation gives -1.65 eV/atom. As for the crystal system: tetragonal. The space-group type is I-42d. The electronic total energy is -4.335 eV/atom. The relative energy among the computed polymorphs comes out at 1.87 eV per formula unit. The magnetization comes out at 0.0 μB/cell.